Record 1
Here is a relaxed NbZnFe3 crystal from Alexandria via LeMat-Bulk. Energies are from PBE-GGA.

The structure in POSCAR format:
```
NbZnFe3
1.0
4.523 0.000 0.000
0.000 4.523 0.000
0.000 0.000 4.523
Nb Zn Fe
1 1 3
direct
0.000 0.000 0.000
0.500 0.500 0.500
0.000 0.000 0.500
0.000 0.500 0.000
0.500 0.000 0.000
```

Output
Formation energy, kJ/mol of atoms: 141.61
Energy above the most stable polymorph in this dataset, meV/atom: 130
DOS(E_F), states/eV/atom: 0.952
Calculated density, g/cm³: 5.85
E, eV/atom: -5.879

Record 2
Here is a relaxed AcLaTbPr2 crystal from Alexandria via LeMat-Bulk. Energies are from PBE-GGA.

The structure in POSCAR format:
```
AcLaTbPr2
1.0
8.346 0.000 0.000
0.000 5.321 0.000
-0.028 0.000 8.375
Ac La Tb Pr
2 2 2 4
direct
0.051 0.250 0.152
0.949 0.750 0.848
0.257 0.250 0.746
0.743 0.750 0.254
0.357 0.750 0.048
0.643 0.250 0.952
0.156 0.750 0.447
0.454 0.250 0.346
0.546 0.750 0.654
0.844 0.250 0.553
```

Output
Formation energy, kJ/mol of atoms: 2.94
DOS(E_F), states/eV/atom: 1.790
Calculated density, g/cm³: 7.20
E, eV/atom: -4.615